A plane-wave DFT calculation with PBE was carried out for an optimized crystal structure of CeTm2Ru3.

Cell lengths 7.548, 7.548, 6.775 Å; angles 90.00, 90.00, 142.90 degrees
Positions (direct):
Ce (0.164, 0.836, 0.000)
Ce (0.836, 0.164, 0.000)
Tm (0.166, 0.834, 0.500)
Tm (0.500, 0.500, 0.000)
Tm (0.500, 0.500, 0.500)
Tm (0.834, 0.166, 0.500)
Ru (0.000, 0.000, 0.243)
Ru (0.000, 0.000, 0.757)
Ru (0.331, 0.669, 0.241)
Ru (0.331, 0.669, 0.759)
Ru (0.669, 0.331, 0.241)
Ru (0.669, 0.331, 0.759)

Properties
E_form ... -2.7 eV per formula unit
Final energy ... -90.8 eV/cell
V ... 19.404 Å³ per atom
Distance to the lowest polymorph of the same formula ... 0 meV/atom
Space-group type ... Cmmm, No. 65